A plane-wave DFT calculation with PBE was carried out for a relaxed LaTlPd crystal.

- energy of formation (kJ/mol of formula units) = -160.7
- final energy (eV/atom) = -4.7173
- volume (Å³ per atom) = 27.931

```
LaTlPd
1.0
0.000 3.473 3.473
3.473 0.000 3.473
3.473 3.473 0.000
La Tl Pd
1 1 1
Direct
0.000 0.000 0.000
0.500 0.500 0.500
0.250 0.250 0.250
```